Compound: Ba3GaHg2Au6
Source: Alexandria
Functional: PBE
Structure: relaxed

Lattice parameters (Å, degrees): 6.6873 6.6873 8.8788 90.00 90.00 120.00
Space group P-3m1 (No. 164)
Asymmetric unit:
Ba1 0.0000 0.0000 0.0000 x1
Ba2 0.3333 0.6667 0.6508 x2
Ga1 0.0000 0.0000 0.5000 x1
Hg1 0.3333 0.6667 0.0434 x2
Au1 0.1829 0.3658 0.3160 x6

## Properties
formation energy: -0.505 eV/atom
V: 28.7 Å³ per atom
M_tot: 0.0 μB per formula unit